An optimized crystal structure of InNi3N, computed with PBE.

Output
- uncorrected energy (eV per atom) = -5.485
- SG = P6_3/mmc (194)
- energy relative to the elements, uncorrected (meV/atom) = 197
- crystal system = hexagonal

Lattice parameters (Å, degrees): 3.1931 3.1931 15.1552 90.00 90.00 120.00
Last column: nearest neighbours and their distance in Å.
Sites, in units of the cell vectors:
Ni (0.0000, 0.0000, 0.2500)  3 N 1.84
Ni (0.0000, 0.0000, 0.7500)  3 N 1.84
Ni (0.3333, 0.6667, 0.8713)  1 N 1.84
Ni (0.3333, 0.6667, 0.6287)  1 N 1.84
Ni (0.6667, 0.3333, 0.3713)  1 N 1.84
Ni (0.6667, 0.3333, 0.1287)  1 N 1.84
N (0.3333, 0.6667, 0.7500)  5 Ni 1.84
N (0.6667, 0.3333, 0.2500)  5 Ni 1.84
In (0.0000, 0.0000, 0.0000)  6 Ni 2.68
In (0.0000, 0.0000, 0.5000)  6 Ni 2.68